[1]
Density functional theory data (GGA-PBE) for a relaxed structure of Li2LaBr.

Geometry as extended XYZ:
```
4
Lattice="2.947 -5.748 0.000 2.947 5.748 0.000 0.000 0.000 3.576" Properties=species:S:1:pos:R:3 pbc="T T T"
Li 1.473 2.874 0.000
Li 1.473 -2.874 0.000
La 0.000 0.000 1.788
Br 2.947 0.000 1.788
```

Formation energy (no corrections), eV/atom: -0.35
SG: Cmmm, No. 65


[2]
Density functional theory data (GGA-PBE) for a relaxed structure of LiLaBr.

Geometry as extended XYZ:
```
3
Lattice="4.726 0.000 0.000 -2.363 4.093 0.000 0.000 0.000 3.878" Properties=species:S:1:pos:R:3 pbc="T T T"
Li 0.000 0.000 0.000
La 0.000 2.729 1.939
Br 2.363 1.364 0.000
```

E above lowest polymorph, meV/atom: 171
Formation energy (no corrections), eV/atom: -0.58
SG: P-6m2, No. 187


[3]
Density functional theory data (GGA-PBE) for a relaxed structure of LiLaBr.

Geometry as extended XYZ:
```
3
Lattice="3.725 0.000 0.000 -1.862 3.226 0.000 0.000 0.000 7.220" Properties=species:S:1:pos:R:3 pbc="T T T"
Li 0.000 0.000 0.000
La 0.000 2.150 4.060
Br 1.862 1.075 1.679
```

E above lowest polymorph, meV/atom: 0
Formation energy (no corrections), eV/atom: -0.75
SG: P3m1, No. 156


[4]
Density functional theory data (GGA-PBE) for a relaxed structure of Li2LaBr.

Geometry as extended XYZ:
```
4
Lattice="4.275 0.000 0.000 0.000 4.275 0.000 0.000 0.000 5.931" Properties=species:S:1:pos:R:3 pbc="T T T"
Li 0.000 2.138 0.000
Li 2.138 0.000 0.000
La 0.000 0.000 2.966
Br 2.138 2.138 2.966
```

Formation energy (no corrections), eV/atom: -0.42
SG: P4/mmm, No. 123